[1]
# BeFeReSi

BeFeReSi after structural relaxation (PBE, the Open Quantum Materials Database).

POSCAR file:
```
BeFeReSi
1.0
5.687 0.000 0.000
0.000 5.687 0.000
0.000 0.000 5.687
Be Fe Re Si
4 4 4 4
Direct
0.000 0.000 0.000
0.000 0.500 0.500
0.500 0.000 0.500
0.500 0.500 0.000
0.000 0.000 0.500
0.000 0.500 0.000
0.500 0.000 0.000
0.500 0.500 0.500
0.250 0.250 0.750
0.250 0.750 0.250
0.750 0.250 0.250
0.750 0.750 0.750
0.250 0.250 0.250
0.250 0.750 0.750
0.750 0.250 0.750
0.750 0.750 0.250
```

Values from the calculation:
Calculated volume in Å³ per cell: 183.9
Energy above the most stable polymorph in this dataset in meV per atom: 197
Raw total energy in eV per cell: -118.49
Spin magnetization in μB per formula unit: 2.12
Density in Mg/m³: 10.081
Space-group type: F-43m, No. 216



[2]
# BeFeReSn

BeFeReSn after structural relaxation (PBE, the Open Quantum Materials Database).

POSCAR file:
```
BeFeReSn
1.0
6.016 0.000 0.000
0.000 6.016 0.000
0.000 0.000 6.016
Be Fe Re Sn
4 4 4 4
Direct
0.000 0.000 0.000
0.000 0.500 0.500
0.500 0.000 0.500
0.500 0.500 0.000
0.000 0.000 0.500
0.000 0.500 0.000
0.500 0.000 0.000
0.500 0.500 0.500
0.250 0.250 0.750
0.250 0.750 0.250
0.750 0.250 0.250
0.750 0.750 0.750
0.250 0.250 0.250
0.250 0.750 0.750
0.750 0.250 0.750
0.750 0.750 0.250
```

Values from the calculation:
Calculated volume in Å³ per cell: 217.8
Energy above the most stable polymorph in this dataset in meV per atom: 0
Raw total energy in eV per cell: -107.87
Spin magnetization in μB per formula unit: 2.51
Density in Mg/m³: 11.278
Space-group type: F-43m, No. 216



[3]
# BeFeSb2

BeFeSb2 after structural relaxation (PBE, the Open Quantum Materials Database).

POSCAR file:
```
BeFeSb2
1.0
6.619 0.000 0.000
0.000 6.619 0.000
0.000 0.000 6.619
Be Fe Sb
4 4 8
Direct
0.000 0.000 0.000
0.000 0.500 0.500
0.500 0.000 0.500
0.500 0.500 0.000
0.250 0.250 0.250
0.250 0.750 0.750
0.750 0.250 0.750
0.750 0.750 0.250
0.000 0.000 0.500
0.000 0.500 0.000
0.250 0.250 0.750
0.250 0.750 0.250
0.500 0.000 0.000
0.500 0.500 0.500
0.750 0.250 0.250
0.750 0.750 0.750
```

Values from the calculation:
Calculated volume in Å³ per cell: 290.0
Raw total energy in eV per cell: -66.91
Spin magnetization in μB per formula unit: 2.15
Density in Mg/m³: 7.062
Space-group type: F-43m, No. 216



[4]
# BeFe2Sb

BeFe2Sb after structural relaxation (PBE, the Open Quantum Materials Database).

POSCAR file:
```
BeFe2Sb
1.0
5.783 0.000 0.000
0.000 5.783 0.000
0.000 0.000 5.783
Be Fe Sb
4 8 4
Direct
0.000 0.000 0.000
0.000 0.000 0.500
0.000 0.500 0.000
0.500 0.000 0.000
0.237 0.237 0.237
0.237 0.237 0.763
0.237 0.763 0.237
0.237 0.763 0.763
0.763 0.237 0.237
0.763 0.237 0.763
0.763 0.763 0.237
0.763 0.763 0.763
0.000 0.500 0.500
0.500 0.000 0.500
0.500 0.500 0.000
0.500 0.500 0.500
```

Values from the calculation:
Calculated volume in Å³ per cell: 193.4
Raw total energy in eV per cell: -93.66
Spin magnetization in μB per formula unit: 0.25
Density in Mg/m³: 8.325
Space-group type: Pm-3m, No. 221